<w>
Below is an optimized crystal structure of Nd3Sb2Se2, with properties calculated at the PBE-GGA level.

abc: 7.0698 7.0698 8.6249
angles: 117.79 117.79 35.36
With the nearest neighbours (Å) after each atom.
Fractional positions:
Nd 0.0000 0.0000 0.0000  4 Se 2.95, 2 Sb 3.16
Nd 0.3489 0.3489 0.2707  3 Se 3.01-3.03, 4 Sb 3.25-3.35
Nd 0.6511 0.6511 0.7293  3 Se 3.01-3.03, 4 Sb 3.25-3.35
Sb 0.0670 0.0670 0.4056  1 Sb 2.96, 3 Nd 3.16-3.25
Sb 0.9330 0.9330 0.5944  1 Sb 2.96, 3 Nd 3.16-3.25
Se 0.3300 0.3300 0.9082  5 Nd 2.95-3.03
Se 0.6700 0.6700 0.0918  5 Nd 2.95-3.03

Summary:
density	6367	kg/m³
volume	218	Å³/f.u.

<x>
Below is an optimized crystal structure of Nd3Sb2Se2, with properties calculated at the PBE-GGA level.

abc: 8.2880 8.2880 8.0180
angles: 117.30 117.30 30.84
With the nearest neighbours (Å) after each atom.
Fractional positions:
Nd 0.0000 0.0000 0.0000  2 Se 3.01, 4 Sb 3.18
Nd 0.2845 0.2845 0.3134  3 Se 2.91-3.02, 1 Sb 3.21
Nd 0.7155 0.7155 0.6866  3 Se 2.91-3.02, 1 Sb 3.21
Sb 0.3570 0.3570 0.0026  5 Nd 3.18-3.31
Sb 0.6430 0.6430 0.9974  5 Nd 3.18-3.31
Se 0.1279 0.1279 0.4222  4 Nd 2.91-3.02
Se 0.8721 0.8721 0.5778  4 Nd 2.91-3.02

Summary:
density	5577	kg/m³
volume	248	Å³/f.u.

The structure with the least stability is <x>.

<w>
Below is an optimized crystal structure of Nd2SiSb, with properties calculated at the PBE-GGA level.

abc: 12.2003 12.2003 4.1895
angles: 90.00 90.00 158.39
With the nearest neighbours (Å) after each atom.
Fractional positions:
Nd 0.0610 0.9390 0.7500  1 Sb 3.07, 6 Si 3.17-3.23
Nd 0.3213 0.6787 0.7500  5 Sb 3.11-3.17, 1 Si 3.46
Nd 0.6787 0.3213 0.2500  5 Sb 3.11-3.17, 1 Si 3.46
Nd 0.9390 0.0610 0.2500  1 Sb 3.07, 6 Si 3.17-3.23
Si 0.4656 0.5344 0.7500  2 Si 2.67
Si 0.5344 0.4656 0.2500  2 Si 2.67
Sb 0.1892 0.8108 0.7500  6 Nd 3.07-3.17
Sb 0.8108 0.1892 0.2500  6 Nd 3.07-3.17

Summary:
density	6339	kg/m³
volume	115	Å³/f.u.

<x>
Below is an optimized crystal structure of Nd2SiSb, with properties calculated at the PBE-GGA level.

abc: 7.7439 7.7439 7.7439
angles: 32.57 32.57 32.57
With the nearest neighbours (Å) after each atom.
Fractional positions:
Nd 0.2447 0.2447 0.2447  3 Si 3.04, 3 Sb 3.17
Nd 0.7553 0.7553 0.7553  3 Si 3.04, 3 Sb 3.17
Si 0.5000 0.5000 0.5000  6 Nd 3.04
Sb 0.0000 0.0000 0.0000  6 Nd 3.17

Summary:
density	6082	kg/m³
volume	120	Å³/f.u.

The structure with the least stability is <x>.